(1)
Density functional theory data (PBE) for AlBOs3 after structural relaxation.

Results
* D(E_F): 3.24 states/eV/cell
* SG: Pm-3m (221)
* crystal system: cubic
* energy above the most stable polymorph in this dataset: 2417.0 meV/atom
* formation energy from the elements: 2.59 eV/atom
* magnetization: 1.767 μB/f.u.

a = 4.3911 Å, b = 4.3911 Å, c = 4.3911 Å
α = 90.00°, β = 90.00°, γ = 90.00°
Closest atoms and distances in Å follow each position.
Atoms (fractional coordinates):
Al  0.0000  0.0000  0.0000  6 Os 2.20
B  0.5000  0.5000  0.5000  12 Os 3.10
Os  0.0000  0.0000  0.5000  2 Al 2.20
Os  0.0000  0.5000  0.0000  2 Al 2.20
Os  0.5000  0.0000  0.0000  2 Al 2.20

=====

(2)
Density functional theory data (PBE) for AlBOs3 after structural relaxation.

Results
* D(E_F): 5.57 states/eV/cell
* SG: Pm-3m (221)
* crystal system: cubic
* energy above the most stable polymorph in this dataset: 0.0 meV/atom
* formation energy from the elements: 0.17 eV/atom
* magnetization: 0.946 μB/f.u.

a = 4.0827 Å, b = 4.0827 Å, c = 4.0827 Å
α = 90.00°, β = 90.00°, γ = 90.00°
Closest atoms and distances in Å follow each position.
Atoms (fractional coordinates):
Al  0.0000  0.0000  0.0000  12 Os 2.89
B  0.5000  0.5000  0.5000  6 Os 2.04
Os  0.0000  0.5000  0.5000  2 B 2.04
Os  0.5000  0.0000  0.5000  2 B 2.04
Os  0.5000  0.5000  0.0000  2 B 2.04